An optimized crystal structure of Dy2CdGa3Au4, computed with PBE-GGA.

Calculated values
* formation enthalpy at 0 K: -0.54 eV per atom
* symmetry: P-4m2, No. 115
* V: 20.81 Å³/atom

Cell lengths 4.2784, 4.2784, 11.3685 Å; angles 90.00, 90.00, 90.00 degrees
Atoms (fractional coordinates):
Au 0.0000 0.5000 0.3468
Au 0.5000 0.5000 0.0000
Au 0.5000 0.0000 0.6532
Au 0.0000 0.0000 0.0000
Ga 0.5000 0.0000 0.8702
Ga 0.0000 0.5000 0.1298
Ga 0.0000 0.0000 0.5000
Dy 0.0000 0.5000 0.7656
Dy 0.5000 0.0000 0.2344
Cd 0.5000 0.5000 0.5000



An optimized crystal structure of Dy2CdGa4Au3, computed with PBE-GGA.

Calculated values
* formation enthalpy at 0 K: -0.53 eV per atom
* symmetry: P-4m2, No. 115
* V: 20.36 Å³/atom

Cell lengths 4.2568, 4.2568, 11.2344 Å; angles 90.00, 90.00, 90.00 degrees
Atoms (fractional coordinates):
Au 0.0000 0.0000 0.5000
Au 0.5000 0.0000 0.8654
Au 0.0000 0.5000 0.1346
Ga 0.5000 0.0000 0.6449
Ga 0.5000 0.5000 0.0000
Ga 0.0000 0.5000 0.3551
Ga 0.0000 0.0000 0.0000
Cd 0.5000 0.5000 0.5000
Dy 0.0000 0.5000 0.7511
Dy 0.5000 0.0000 0.2489



An optimized crystal structure of Dy2CdGaAu4, computed with PBE-GGA.

Calculated values
* formation enthalpy at 0 K: -0.67 eV per atom
* symmetry: R-3m, No. 166
* V: 20.71 Å³/atom

Cell lengths 4.9253, 4.9253, 8.3838 Å; angles 72.92, 72.92, 60.00 degrees
Atoms (fractional coordinates):
Ga 0.5000 0.5000 0.5000
Dy 0.2494 0.2494 0.2519
Dy 0.7506 0.7506 0.7481
Cd 0.0000 0.0000 0.0000
Au 0.3787 0.3787 0.8638
Au 0.6213 0.6213 0.1362
Au 0.8749 0.8749 0.3753
Au 0.1251 0.1251 0.6247



An optimized crystal structure of GdDyCdAu, computed with PBE-GGA.

Calculated values
* formation enthalpy at 0 K: -0.56 eV per atom
* symmetry: F-43m, No. 216
* V: 24.98 Å³/atom

Cell lengths 5.2088, 5.2088, 5.2088 Å; angles 60.00, 60.00, 60.00 degrees
Site moments in Bohr magnetons follow the coordinates.
Atoms (fractional coordinates):
Gd 0.0000 0.0000 0.0000  7.04
Dy 0.5000 0.5000 0.5000  0.01
Cd 0.7500 0.7500 0.7500  0.00
Au 0.2500 0.2500 0.2500  0.00



> What is the V in the third record?

20.71 Å³/atom